# CrFePd6, relaxed, DFT PBE
data_CrFePd6
_cell_length_a 4.983
_cell_length_b 5.001
_cell_length_c 5.005
_cell_angle_alpha 93.36
_cell_angle_beta 93.24
_cell_angle_gamma 93.20
_symmetry_space_group_name_H-M 'P 1'
_symmetry_Int_Tables_number 1
loop_
_symmetry_equiv_pos_as_xyz
'x,y,z'
loop_
_atom_site_label
_atom_site_type_symbol
_atom_site_fract_x
_atom_site_fract_y
_atom_site_fract_z
Cr1 Cr 0.000 0.000 0.000
Fe1 Fe 0.500 0.500 0.500
Pd1 Pd 0.042 0.459 0.750
Pd2 Pd 0.250 0.955 0.543
Pd3 Pd 0.459 0.750 0.043
Pd4 Pd 0.541 0.250 0.957
Pd5 Pd 0.750 0.045 0.457
Pd6 Pd 0.958 0.541 0.250
# Total magnetization   7.384 μB per formula unit
# DFT total energy   -6.09 eV/atom
# D(E_F)   1.16 states/eV per atom
# Formation enthalpy at 0 K   63 meV per atom
# Energy above the most stable polymorph in this dataset   0.1520 eV per atom

***

# CrFe6Pd12, relaxed, DFT PBE
data_CrFe6Pd12
_cell_length_a 6.534
_cell_length_b 6.534
_cell_length_c 6.534
_cell_angle_alpha 88.77
_cell_angle_beta 88.77
_cell_angle_gamma 88.77
_symmetry_space_group_name_H-M 'P 1'
_symmetry_Int_Tables_number 1
loop_
_symmetry_equiv_pos_as_xyz
'x,y,z'
loop_
_atom_site_label
_atom_site_type_symbol
_atom_site_fract_x
_atom_site_fract_y
_atom_site_fract_z
Cr1 Cr 0.000 0.000 0.000
Fe1 Fe 0.112 0.267 0.734
Fe2 Fe 0.266 0.888 0.733
Fe3 Fe 0.267 0.734 0.112
Fe4 Fe 0.733 0.266 0.888
Fe5 Fe 0.734 0.112 0.267
Fe6 Fe 0.888 0.733 0.266
Pd1 Pd 0.023 0.367 0.152
Pd2 Pd 0.152 0.023 0.367
Pd3 Pd 0.197 0.568 0.469
Pd4 Pd 0.367 0.152 0.023
Pd5 Pd 0.432 0.531 0.803
Pd6 Pd 0.469 0.197 0.568
Pd7 Pd 0.531 0.803 0.432
Pd8 Pd 0.568 0.469 0.197
Pd9 Pd 0.633 0.848 0.977
Pd10 Pd 0.803 0.432 0.531
Pd11 Pd 0.848 0.977 0.633
Pd12 Pd 0.977 0.633 0.848
# Total magnetization   18.100 μB per formula unit
# DFT total energy   -6.47 eV/atom
# D(E_F)   0.82 states/eV per atom
# Formation enthalpy at 0 K   -8 meV per atom
# Energy above the most stable polymorph in this dataset   0.0455 eV per atom

***

# CrFe2Pd, relaxed, DFT PBE
data_CrFe2Pd
_cell_length_a 4.205
_cell_length_b 4.205
_cell_length_c 4.205
_cell_angle_alpha 60.00
_cell_angle_beta 60.00
_cell_angle_gamma 60.00
_symmetry_space_group_name_H-M 'P 1'
_symmetry_Int_Tables_number 1
loop_
_symmetry_equiv_pos_as_xyz
'x,y,z'
loop_
_atom_site_label
_atom_site_type_symbol
_atom_site_fract_x
_atom_site_fract_y
_atom_site_fract_z
Cr1 Cr 0.000 0.000 0.000
Fe1 Fe 0.250 0.250 0.250
Fe2 Fe 0.750 0.750 0.750
Pd1 Pd 0.500 0.500 0.500
# Total magnetization   3.010 μB per formula unit
# DFT total energy   -7.70 eV/atom
# D(E_F)   1.72 states/eV per atom
# Formation enthalpy at 0 K   233 meV per atom

***

# CrFe3Pd6, relaxed, DFT PBE
data_CrFe3Pd6
_cell_length_a 7.232
_cell_length_b 4.444
_cell_length_c 9.506
_cell_angle_alpha 90.00
_cell_angle_beta 109.70
_cell_angle_gamma 90.00
_symmetry_space_group_name_H-M 'P 1'
_symmetry_Int_Tables_number 1
loop_
_symmetry_equiv_pos_as_xyz
'x,y,z'
loop_
_atom_site_label
_atom_site_type_symbol
_atom_site_fract_x
_atom_site_fract_y
_atom_site_fract_z
Cr1 Cr 0.111 0.250 0.073
Cr2 Cr 0.889 0.750 0.927
Fe1 Fe 0.103 0.750 0.731
Fe2 Fe 0.296 0.750 0.535
Fe3 Fe 0.304 0.250 0.868
Fe4 Fe 0.696 0.750 0.132
Fe5 Fe 0.704 0.250 0.465
Fe6 Fe 0.897 0.250 0.269
Pd1 Pd 0.084 0.750 0.223
Pd2 Pd 0.100 0.250 0.572
Pd3 Pd 0.288 0.750 0.024
Pd4 Pd 0.292 0.250 0.367
Pd5 Pd 0.494 0.750 0.832
Pd6 Pd 0.498 0.750 0.334
Pd7 Pd 0.502 0.250 0.666
Pd8 Pd 0.506 0.250 0.168
Pd9 Pd 0.708 0.750 0.633
Pd10 Pd 0.712 0.250 0.976
Pd11 Pd 0.900 0.750 0.428
Pd12 Pd 0.916 0.250 0.777
# Total magnetization   7.096 μB per formula unit
# DFT total energy   -6.66 eV/atom
# D(E_F)   1.01 states/eV per atom
# Formation enthalpy at 0 K   -44 meV per atom

***

# Cr3FePd12, relaxed, DFT PBE
data_Cr3FePd12
_cell_length_a 3.906
_cell_length_b 3.906
_cell_length_c 15.559
_cell_angle_alpha 90.00
_cell_angle_beta 90.00
_cell_angle_gamma 90.00
_symmetry_space_group_name_H-M 'P 1'
_symmetry_Int_Tables_number 1
loop_
_symmetry_equiv_pos_as_xyz
'x,y,z'
loop_
_atom_site_label
_atom_site_type_symbol
_atom_site_fract_x
_atom_site_fract_y
_atom_site_fract_z
Cr1 Cr 0.000 0.000 0.000
Cr2 Cr 0.000 0.000 0.249
Cr3 Cr 0.000 0.000 0.751
Fe1 Fe 0.000 0.000 0.500
Pd1 Pd 0.000 0.500 0.125
Pd2 Pd 0.000 0.500 0.376
Pd3 Pd 0.000 0.500 0.624
Pd4 Pd 0.000 0.500 0.875
Pd5 Pd 0.500 0.000 0.125
Pd6 Pd 0.500 0.000 0.376
Pd7 Pd 0.500 0.000 0.624
Pd8 Pd 0.500 0.000 0.875
Pd9 Pd 0.500 0.500 0.000
Pd10 Pd 0.500 0.500 0.251
Pd11 Pd 0.500 0.500 0.500
Pd12 Pd 0.500 0.500 0.749
# Total magnetization   12.499 μB per formula unit
# DFT total energy   -6.31 eV/atom
# D(E_F)   1.49 states/eV per atom
# Formation enthalpy at 0 K   -81 meV per atom

***

# CrFePd4, relaxed, DFT PBE
data_CrFePd4
_cell_length_a 2.732
_cell_length_b 2.732
_cell_length_c 11.459
_cell_angle_alpha 90.00
_cell_angle_beta 90.00
_cell_angle_gamma 90.00
_symmetry_space_group_name_H-M 'P 1'
_symmetry_Int_Tables_number 1
loop_
_symmetry_equiv_pos_as_xyz
'x,y,z'
loop_
_atom_site_label
_atom_site_type_symbol
_atom_site_fract_x
_atom_site_fract_y
_atom_site_fract_z
Cr1 Cr 0.000 0.000 0.000
Fe1 Fe 0.500 0.500 0.500
Pd1 Pd 0.000 0.000 0.341
Pd2 Pd 0.000 0.000 0.659
Pd3 Pd 0.500 0.500 0.156
Pd4 Pd 0.500 0.500 0.844
# Total magnetization   3.246 μB per formula unit
# DFT total energy   -6.50 eV/atom
# D(E_F)   1.10 states/eV per atom
# Formation enthalpy at 0 K   -27 meV per atom

***

# CrFe2Pd, relaxed, DFT PBE
data_CrFe2Pd
_cell_length_a 9.296
_cell_length_b 9.296
_cell_length_c 9.296
_cell_angle_alpha 158.05
_cell_angle_beta 158.05
_cell_angle_gamma 31.23
_symmetry_space_group_name_H-M 'P 1'
_symmetry_Int_Tables_number 1
loop_
_symmetry_equiv_pos_as_xyz
'x,y,z'
loop_
_atom_site_label
_atom_site_type_symbol
_atom_site_fract_x
_atom_site_fract_y
_atom_site_fract_z
Cr1 Cr 0.000 0.000 0.000
Cr2 Cr 0.750 0.250 0.500
Fe1 Fe 0.104 0.625 0.979
Fe2 Fe 0.375 0.354 0.479
Fe3 Fe 0.646 0.125 0.021
Fe4 Fe 0.875 0.896 0.521
Pd1 Pd 0.250 0.750 0.500
Pd2 Pd 0.500 0.500 0.000
# Total magnetization   7.232 μB per formula unit
# DFT total energy   -7.28 eV/atom
# D(E_F)   1.73 states/eV per atom
# Formation enthalpy at 0 K   653 meV per atom

***

# Sr2CrFePd, relaxed, DFT PBE
data_Sr2CrFePd
_cell_length_a 5.678
_cell_length_b 5.678
_cell_length_c 4.312
_cell_angle_alpha 90.00
_cell_angle_beta 90.00
_cell_angle_gamma 90.00
_symmetry_space_group_name_H-M 'P 1'
_symmetry_Int_Tables_number 1
loop_
_symmetry_equiv_pos_as_xyz
'x,y,z'
loop_
_atom_site_label
_atom_site_type_symbol
_atom_site_fract_x
_atom_site_fract_y
_atom_site_fract_z
Sr1 Sr 0.000 0.500 0.000
Sr2 Sr 0.500 0.000 0.000
Cr1 Cr 0.000 0.000 0.500
Fe1 Fe 0.000 0.000 0.000
Pd1 Pd 0.500 0.500 0.500
# Total magnetization   2.222 μB per formula unit
# DFT total energy   -4.74 eV/atom
# D(E_F)   1.18 states/eV per atom
# Formation enthalpy at 0 K   589 meV per atom

***

# CrFe2PdW, relaxed, DFT PBE
data_CrFe2PdW
_cell_length_a 4.497
_cell_length_b 4.497
_cell_length_c 4.736
_cell_angle_alpha 90.00
_cell_angle_beta 90.00
_cell_angle_gamma 90.00
_symmetry_space_group_name_H-M 'P 1'
_symmetry_Int_Tables_number 1
loop_
_symmetry_equiv_pos_as_xyz
'x,y,z'
loop_
_atom_site_label
_atom_site_type_symbol
_atom_site_fract_x
_atom_site_fract_y
_atom_site_fract_z
Cr1 Cr 0.000 0.000 0.000
Fe1 Fe 0.000 0.500 0.500
Fe2 Fe 0.500 0.000 0.500
Pd1 Pd 0.500 0.500 0.500
W1 W 0.500 0.500 0.000
# Total magnetization   6.071 μB per formula unit
# DFT total energy   -6.90 eV/atom
# D(E_F)   1.50 states/eV per atom
# Formation enthalpy at 0 K   2041 meV per atom

***

# PmCrFe4, relaxed, DFT PBE
data_PmCrFe4
_cell_length_a 4.988
_cell_length_b 4.988
_cell_length_c 4.988
_cell_angle_alpha 60.00
_cell_angle_beta 60.00
_cell_angle_gamma 60.00
_symmetry_space_group_name_H-M 'P 1'
_symmetry_Int_Tables_number 1
loop_
_symmetry_equiv_pos_as_xyz
'x,y,z'
loop_
_atom_site_label
_atom_site_type_symbol
_atom_site_fract_x
_atom_site_fract_y
_atom_site_fract_z
Pm1 Pm 0.000 0.000 0.000
Cr1 Cr 0.250 0.250 0.250
Fe1 Fe 0.130 0.623 0.623
Fe2 Fe 0.623 0.130 0.623
Fe3 Fe 0.623 0.623 0.130
Fe4 Fe 0.623 0.623 0.623
# Total magnetization   10.921 μB per formula unit
# DFT total energy   -7.75 eV/atom
# D(E_F)   1.72 states/eV per atom
# Formation enthalpy at 0 K   283 meV per atom

***

# PrCrFe4, relaxed, DFT PBE
data_PrCrFe4
_cell_length_a 5.048
_cell_length_b 5.048
_cell_length_c 5.048
_cell_angle_alpha 60.00
_cell_angle_beta 60.00
_cell_angle_gamma 60.00
_symmetry_space_group_name_H-M 'P 1'
_symmetry_Int_Tables_number 1
loop_
_symmetry_equiv_pos_as_xyz
'x,y,z'
loop_
_atom_site_label
_atom_site_type_symbol
_atom_site_fract_x
_atom_site_fract_y
_atom_site_fract_z
Pr1 Pr 0.000 0.000 0.000
Cr1 Cr 0.750 0.750 0.750
Fe1 Fe 0.377 0.377 0.377
Fe2 Fe 0.377 0.377 0.870
Fe3 Fe 0.377 0.870 0.377
Fe4 Fe 0.870 0.377 0.377
# Total magnetization   12.262 μB per formula unit
# DFT total energy   -7.71 eV/atom
# D(E_F)   1.37 states/eV per atom
# Formation enthalpy at 0 K   328 meV per atom

***

# CrFePt, relaxed, DFT PBE
data_CrFePt
_cell_length_a 4.654
_cell_length_b 4.654
_cell_length_c 4.654
_cell_angle_alpha 146.09
_cell_angle_beta 133.82
_cell_angle_gamma 58.51
_symmetry_space_group_name_H-M 'P 1'
_symmetry_Int_Tables_number 1
loop_
_symmetry_equiv_pos_as_xyz
'x,y,z'
loop_
_atom_site_label
_atom_site_type_symbol
_atom_site_fract_x
_atom_site_fract_y
_atom_site_fract_z
Cr1 Cr 0.000 0.000 0.000
Fe1 Fe 0.655 0.655 0.000
Pt1 Pt 0.328 0.328 0.000
# Total magnetization   0.252 μB per formula unit
# DFT total energy   -8.16 eV/atom
# D(E_F)   1.08 states/eV per atom
# Formation enthalpy at 0 K   -120 meV per atom
# Energy above the most stable polymorph in this dataset   0.0000 eV per atom